Material: AcLa2Nd5Sm
Method: DFT, PBE-GGA
State: relaxed

Cell: 8.964 8.964 10.386 Å, 115.57 115.57 90.00°
Fractional coordinates of all 18 atoms:
Nd1 0.921 0.421 0.276
Ac1 0.250 0.750 0.500
Sm1 0.250 0.250 0.500
La1 0.383 0.883 0.000
Nd2 0.079 0.579 0.724
Nd3 0.646 0.146 0.724
Sm2 0.750 0.750 0.500
Nd4 0.854 0.921 0.276
Nd5 0.421 0.354 0.276
Nd6 0.500 0.500 0.000
Ac2 0.750 0.250 0.500
Nd7 0.579 0.646 0.724
La2 0.883 0.617 0.000
La3 0.117 0.383 0.000
Nd8 0.146 0.079 0.724
Nd9 0.354 0.854 0.276
La4 0.617 0.117 0.000
Nd10 0.000 0.000 0.000

Values from the calculation:
The value obtained for the formation energy is 0.24 eV per atom. The total moment comes out at 0.0 μB per cell. The symmetry is I4/mcm. For the raw total energy, the calculation gives -4.48 eV/atom.